1.
Entry from Alexandria via LeMat-Bulk: a geometry-optimized Li2H2Pd5 structure (PBE).

```
data_Li2H2Pd5
_chemical_formula_sum 'Li2 H2 Pd5'
_symmetry_space_group_name_H-M 'P -1'
_symmetry_Int_Tables_number 2
_cell_length_a 3.995
_cell_length_b 4.933
_cell_length_c 6.099
_cell_angle_alpha 94.80
_cell_angle_beta 90.08
_cell_angle_gamma 113.86
loop_
_symmetry_equiv_pos_as_xyz
'x,y,z'
'-x,-y,-z'
loop_
_atom_site_label
_atom_site_type_symbol
_atom_site_fract_x
_atom_site_fract_y
_atom_site_fract_z
Li1 Li 0.071 0.141 0.224
H1 H 0.308 0.617 0.351
Pd1 Pd 0.211 0.422 0.645
Pd2 Pd 0.357 0.715 0.063
Pd3 Pd 0.500 0.000 0.500
```

Values from the calculation:
Calculated total energy, eV for the cell shown: -38.92

---

2.
Entry from Alexandria via LeMat-Bulk: a geometry-optimized LiHPd3 structure (PBE).

```
data_LiHPd3
_chemical_formula_sum 'Li4 H4 Pd12'
_symmetry_space_group_name_H-M 'I -4 m 2'
_symmetry_Int_Tables_number 119
_symmetry_space_group_name_Hall 'I -4 -2'
_cell_length_a 5.252
_cell_length_b 5.252
_cell_length_c 9.906
_cell_angle_alpha 90.00
_cell_angle_beta 90.00
_cell_angle_gamma 90.00
loop_
_atom_site_label
_atom_site_type_symbol
_atom_site_fract_x
_atom_site_fract_y
_atom_site_fract_z
Li1 Li 0.000 0.000 0.140
H1 H 0.000 0.000 0.500
H2 H 0.000 0.500 0.250
Pd1 Pd 0.000 0.248 0.373
Pd2 Pd 0.000 0.500 0.618
```

Values from the calculation:
Polymorph energy (0 for the lowest one), eV per atom: 0.192

---

3.
Entry from Alexandria via LeMat-Bulk: a geometry-optimized LiHPd3 structure (PBE).

```
data_LiHPd3
_chemical_formula_sum 'Li2 H2 Pd6'
_symmetry_space_group_name_H-M 'A m m 2'
_symmetry_Int_Tables_number 38
_cell_length_a 2.823
_cell_length_b 5.543
_cell_length_c 7.906
_cell_angle_alpha 90.00
_cell_angle_beta 90.00
_cell_angle_gamma 90.00
loop_
_symmetry_equiv_pos_as_xyz
'x,y,z'
'-x,-y,z'
'-x,y,z'
'x,-y,z'
'x,y+1/2,z+1/2'
'-x,-y+1/2,z+1/2'
'-x,y+1/2,z+1/2'
'x,-y+1/2,z+1/2'
loop_
_atom_site_label
_atom_site_type_symbol
_atom_site_fract_x
_atom_site_fract_y
_atom_site_fract_z
Li1 Li 0.000 0.000 0.000
H1 H 0.000 0.000 0.277
Pd1 Pd 0.000 0.000 0.511
Pd2 Pd 0.500 0.249 0.755
```

Values from the calculation:
Polymorph energy (0 for the lowest one), eV per atom: 0.000

---

4.
Entry from Alexandria via LeMat-Bulk: a geometry-optimized LiH3Pd5 structure (PBE).

```
data_LiH3Pd5
_chemical_formula_sum 'Li4 H12 Pd20'
_symmetry_space_group_name_H-M 'C 1 2/m 1'
_symmetry_Int_Tables_number 12
_cell_length_a 8.949
_cell_length_b 6.634
_cell_length_c 7.386
_cell_angle_alpha 90.00
_cell_angle_beta 116.45
_cell_angle_gamma 90.00
loop_
_symmetry_equiv_pos_as_xyz
'x,y,z'
'-x,-y,-z'
'-x,y,-z'
'x,-y,z'
'x+1/2,y+1/2,z'
'-x+1/2,-y+1/2,-z'
'-x+1/2,y+1/2,-z'
'x+1/2,-y+1/2,z'
loop_
_atom_site_label
_atom_site_type_symbol
_atom_site_fract_x
_atom_site_fract_y
_atom_site_fract_z
Li1 Li 0.103 0.000 0.311
H1 H 0.000 0.000 0.000
H2 H 0.000 0.000 0.500
H3 H 0.142 0.500 0.654
H4 H 0.181 0.500 0.180
Pd1 Pd 0.000 0.283 0.000
Pd2 Pd 0.076 0.500 0.362
Pd3 Pd 0.161 0.208 0.667
Pd4 Pd 0.237 0.000 0.029
```

Values from the calculation:
Calculated total energy, eV for the cell shown: -158.71

---

Calculated Fermi-level density of states in order - 0.4920; 0.6130; 0.6481; 0.4551 states/eV/atom